Compound: BeCd2Co
Source: Alexandria via LeMat-Bulk
Functional: PBE
Structure: optimized geometry

Results
The calculation puts the formation enthalpy at 0 K at 68.6 kJ/mol of atoms. As for the space-group type: No. 122. The calculation puts the total energy at -0.18044 Ry per atom. The size of the total moment is 2.8 Bohr magnetons per cell.

POSCAR file:
```
BeCd2Co
1.0
-1.9393 1.9393 9.1700
1.9393 -1.9393 9.1700
1.9393 1.9393 -9.1700
Be Cd Co
2 4 2
Direct
0.0000 0.0000 0.0000 Be
0.7500 0.2500 0.5000 Be
0.1235 0.6250 0.9985 Cd
0.3750 0.3735 0.4985 Cd
0.6265 0.1250 0.0015 Cd
0.8750 0.8765 0.5015 Cd
0.2500 0.7500 0.5000 Co
0.5000 0.5000 0.0000 Co
```

***

Compound: TiSnI2N
Source: Alexandria via LeMat-Bulk
Functional: PBE
Structure: optimized geometry

Results
As for the space-group type: No. 123. The calculation puts the total energy at -0.35098 Ry per atom. The size of the total moment is 0.5 Bohr magnetons per cell. The energy relative to the elements, uncorrected is -0.11 eV/atom. As for the polymorph energy (0 for the lowest one): 0.00 kcal/mol of atoms.

POSCAR file:
```
TiSnI2N
1.0
5.8324 0.0000 0.0000
0.0000 5.8324 0.0000
0.0000 0.0000 3.8047
Ti Sn I N
1 1 2 1
Direct
0.0000 0.0000 0.0000 Ti
0.5000 0.5000 0.5000 Sn
0.0000 0.5000 0.0000 I
0.5000 0.0000 0.0000 I
0.0000 0.0000 0.5000 N
```

***

Compound: Ca2TlIn
Source: Alexandria via LeMat-Bulk
Functional: PBE
Structure: optimized geometry

Results
The calculation puts the formation enthalpy at 0 K at -28.9 kJ/mol of atoms. As for the space-group type: No. 166. The calculation puts the total energy at -0.18940 Ry per atom. The size of the total moment is 0.0 Bohr magnetons per cell.

POSCAR file:
```
Ca2TlIn
1.0
1.8824 1.0868 10.1718
-1.8824 1.0868 10.1718
0.0000 -2.1737 10.1718
Ca Tl In
2 1 1
Direct
0.2500 0.2500 0.2500 Ca
0.7500 0.7500 0.7500 Ca
0.0000 0.0000 0.0000 Tl
0.5000 0.5000 0.5000 In
```

***

Compound: NaSmTa4N8
Source: Alexandria via LeMat-Bulk
Functional: PBE
Structure: optimized geometry

Results
As for the space-group type: No. 160. The calculation puts the total energy at -0.69931 Ry per atom. The size of the total moment is 0.0 Bohr magnetons per cell. The energy relative to the elements, uncorrected is -0.94 eV/atom.

POSCAR file:
```
NaSmTa4N8
1.0
3.1737 1.8323 5.3957
-3.1737 1.8323 5.3957
0.0000 -3.6646 5.3957
Na Sm Ta N
1 1 4 8
Direct
0.0000 0.0000 0.0000 Na
0.3805 0.3805 0.3805 Sm
0.0067 0.0067 0.4889 Ta
0.0067 0.4889 0.0067 Ta
0.4889 0.0067 0.0067 Ta
0.6260 0.6260 0.6260 Ta
0.2384 0.2384 0.2384 N
0.2529 0.2529 0.8094 N
0.2529 0.8094 0.2529 N
0.2538 0.7392 0.7392 N
0.7392 0.2538 0.7392 N
0.7392 0.7392 0.2538 N
0.7628 0.7628 0.7628 N
0.8094 0.2529 0.2529 N
```

***

Compound: ZnH6N2Cl
Source: Alexandria via LeMat-Bulk
Functional: PBE
Structure: optimized geometry

Results
As for the space-group type: No. 15. The calculation puts the total energy at -0.32743 Ry per atom. The size of the total moment is 0.0 Bohr magnetons per cell.

POSCAR file:
```
ZnH6N2Cl
1.0
4.3568 -7.9904 0.0000
4.3568 7.9904 0.0000
-1.3883 0.0000 3.6005
Zn H N Cl
2 12 4 2
Direct
0.0582 0.9418 0.7500 Zn
0.9418 0.0582 0.2500 Zn
0.0676 0.6720 0.4608 H
0.0934 0.4151 0.3340 H
0.1453 0.4026 0.7432 H
0.3280 0.9324 0.0392 H
0.4026 0.1453 0.2432 H
0.4151 0.0934 0.8340 H
0.5849 0.9066 0.1660 H
0.5974 0.8547 0.7568 H
0.6720 0.0676 0.9608 H
0.8547 0.5974 0.2568 H
0.9066 0.5849 0.6660 H
0.9324 0.3280 0.5392 H
0.0414 0.3289 0.4913 N
0.3289 0.0414 0.9913 N
0.6711 0.9586 0.0087 N
0.9586 0.6711 0.5087 N
0.3047 0.6953 0.2500 Cl
0.6953 0.3047 0.7500 Cl
```

***

Compound: Nd4Bi3Te
Source: Alexandria via LeMat-Bulk
Functional: PBE
Structure: optimized geometry

Results
As for the space-group type: No. 139. The calculation puts the total energy at -0.39104 Ry per atom. The size of the total moment is 0.0 Bohr magnetons per cell. The energy relative to the elements, uncorrected is -1.09 eV/atom.

POSCAR file:
```
Nd4Bi3Te
1.0
-3.2414 3.2414 6.4809
3.2414 -3.2414 6.4809
3.2414 3.2414 -6.4809
Nd Bi Te
4 3 1
Direct
0.0000 0.5000 0.5000 Nd
0.2492 0.2492 0.0000 Nd
0.5000 0.0000 0.5000 Nd
0.7508 0.7508 0.0000 Nd
0.0000 0.0000 0.0000 Bi
0.2500 0.7500 0.5000 Bi
0.7500 0.2500 0.5000 Bi
0.5000 0.5000 0.0000 Te
```

***

Compound: ScGa3Ir
Source: Alexandria via LeMat-Bulk
Functional: PBE
Structure: optimized geometry

Results
The calculation puts the formation enthalpy at 0 K at 125.3 kJ/mol of atoms. As for the space-group type: No. 221. The calculation puts the total energy at -0.26139 Ry per atom. The size of the total moment is 0.0 Bohr magnetons per cell. As for the polymorph energy (0 for the lowest one): 44.86 kcal/mol of atoms.

POSCAR file:
```
ScGa3Ir
1.0
4.9462 0.0000 0.0000
0.0000 4.9462 0.0000
0.0000 0.0000 4.9462
Sc Ga Ir
1 3 1
Direct
0.0000 0.0000 0.0000 Sc
0.0000 0.0000 0.5000 Ga
0.0000 0.5000 0.0000 Ga
0.5000 0.0000 0.0000 Ga
0.5000 0.5000 0.5000 Ir
```

***

Compound: PuNp2Tl3S6
Source: Alexandria via LeMat-Bulk
Functional: PBE
Structure: optimized geometry

Results
As for the space-group type: No. 12. The calculation puts the total energy at -0.51947 Ry per atom. The size of the total moment is 2.2 Bohr magnetons per cell. The energy relative to the elements, uncorrected is -1.06 eV/atom.

POSCAR file:
```
PuNp2Tl3S6
1.0
3.5398 -6.1285 0.0000
3.5398 6.1285 0.0000
-2.3551 0.0000 7.4780
Pu Np Tl S
1 2 3 6
Direct
0.0000 0.0000 0.0000 Pu
0.3332 0.6668 0.0000 Np
0.6668 0.3332 0.0000 Np
0.1663 0.8337 0.5000 Tl
0.5000 0.5000 0.5000 Tl
0.8337 0.1663 0.5000 Tl
0.0649 0.4061 0.1947 S
0.2766 0.2766 0.8064 S
0.4061 0.0649 0.1947 S
0.5939 0.9351 0.8053 S
0.7234 0.7234 0.1936 S
0.9351 0.5939 0.8053 S
```

***

Compound: Gd2Y4N
Source: Alexandria via LeMat-Bulk
Functional: PBE
Structure: optimized geometry

Results
As for the space-group type: No. 139. The calculation puts the total energy at -0.67331 Ry per atom. The size of the total moment is 15.4 Bohr magnetons per cell. The energy relative to the elements, uncorrected is -0.25 eV/atom.

POSCAR file:
```
Gd2Y4N
1.0
-2.3946 2.3946 8.9398
2.3946 -2.3946 8.9398
2.3946 2.3946 -8.9398
Gd Y N
2 4 1
Direct
0.1725 0.1725 0.0000 Gd
0.8275 0.8275 0.0000 Gd
0.0000 0.5000 0.5000 Y
0.3678 0.3678 0.0000 Y
0.5000 0.0000 0.5000 Y
0.6322 0.6322 0.0000 Y
0.5000 0.5000 0.0000 N
```

***

Compound: SmInCu5
Source: Alexandria via LeMat-Bulk
Functional: PBE
Structure: optimized geometry

Results
The calculation puts the formation enthalpy at 0 K at -20.8 kJ/mol of atoms. As for the space-group type: No. 62. The calculation puts the total energy at -0.30920 Ry per atom. The size of the total moment is 0.0 Bohr magnetons per cell.

POSCAR file:
```
SmInCu5
1.0
8.3729 0.0000 0.0000
0.0000 5.0590 0.0000
0.0000 0.0000 10.5834
Sm In Cu
4 4 20
Direct
0.2464 0.2500 0.0617 Sm
0.2536 0.7500 0.5617 Sm
0.7464 0.2500 0.4383 Sm
0.7536 0.7500 0.9383 Sm
0.1381 0.7500 0.8624 In
0.3619 0.2500 0.3624 In
0.6381 0.7500 0.6376 In
0.8619 0.2500 0.1376 In
0.0547 0.7500 0.1059 Cu
0.0681 0.0008 0.3126 Cu
0.0681 0.4992 0.3126 Cu
0.0819 0.2500 0.5159 Cu
0.1845 0.2500 0.7418 Cu
0.3155 0.7500 0.2418 Cu
0.4181 0.7500 0.0159 Cu
0.4319 0.5008 0.8126 Cu
0.4319 0.9992 0.8126 Cu
0.4453 0.2500 0.6059 Cu
0.5547 0.7500 0.3941 Cu
0.5681 0.0008 0.1874 Cu
0.5681 0.4992 0.1874 Cu
0.5819 0.2500 0.9841 Cu
0.6845 0.2500 0.7582 Cu
0.8155 0.7500 0.2582 Cu
0.9181 0.7500 0.4841 Cu
0.9319 0.5008 0.6874 Cu
0.9319 0.9992 0.6874 Cu
0.9453 0.2500 0.8941 Cu
```

***

Compound: HfCr2AgI
Source: Alexandria via LeMat-Bulk
Functional: PBE
Structure: optimized geometry

Results
As for the space-group type: No. 123. The calculation puts the total energy at -0.39262 Ry per atom. The size of the total moment is 7.4 Bohr magnetons per cell. The energy relative to the elements, uncorrected is 1.38 eV/atom.

POSCAR file:
```
HfCr2AgI
1.0
5.1005 0.0000 0.0000
0.0000 5.1005 0.0000
0.0000 0.0000 5.4281
Hf Cr Ag I
1 2 1 1
Direct
0.0000 0.0000 0.0000 Hf
0.0000 0.5000 0.0000 Cr
0.5000 0.0000 0.0000 Cr
0.5000 0.5000 0.5000 Ag
0.0000 0.0000 0.5000 I
```

***

Compound: TbPr5HoEr2
Source: Alexandria via LeMat-Bulk
Functional: PBE
Structure: optimized geometry

Results
The calculation puts the formation enthalpy at 0 K at 13.8 kJ/mol of atoms. As for the space-group type: No. 36. The calculation puts the total energy at -0.33439 Ry per atom. The size of the total moment is 0.0 Bohr magnetons per cell.

POSCAR file:
```
TbPr5HoEr2
1.0
2.8292 -10.2790 0.0000
2.8292 10.2790 0.0000
0.0000 0.0000 10.7591
Tb Pr Ho Er
2 10 2 4
Direct
0.1984 0.8016 0.5000 Tb
0.8016 0.1984 0.0000 Tb
0.0151 0.9849 0.5053 Pr
0.2795 0.7205 0.8022 Pr
0.2963 0.7037 0.1955 Pr
0.3836 0.6164 0.5099 Pr
0.4843 0.5157 0.2334 Pr
0.5157 0.4843 0.7334 Pr
0.6164 0.3836 0.0099 Pr
0.7037 0.2963 0.6955 Pr
0.7205 0.2795 0.3022 Pr
0.9849 0.0151 0.0053 Pr
0.4073 0.5927 0.9533 Ho
0.5927 0.4073 0.4533 Ho
0.1123 0.8877 0.2297 Er
0.1142 0.8858 0.7953 Er
0.8858 0.1142 0.2953 Er
0.8877 0.1123 0.7297 Er
```

***

Compound: TiBiTeI2
Source: Alexandria via LeMat-Bulk
Functional: PBE
Structure: optimized geometry

Results
As for the space-group type: No. 123. The calculation puts the total energy at -0.26602 Ry per atom. The size of the total moment is 2.6 Bohr magnetons per cell. The energy relative to the elements, uncorrected is -0.02 eV/atom. As for the polymorph energy (0 for the lowest one): 0.00 kcal/mol of atoms.

POSCAR file:
```
TiBiTeI2
1.0
5.4642 0.0000 0.0000
0.0000 5.4642 0.0000
0.0000 0.0000 5.6332
Ti Bi Te I
1 1 1 2
Direct
0.0000 0.0000 0.0000 Ti
0.5000 0.5000 0.5000 Bi
0.0000 0.0000 0.5000 Te
0.0000 0.5000 0.0000 I
0.5000 0.0000 0.0000 I
```

***

Compound: DyHo2Ga6
Source: Alexandria via LeMat-Bulk
Functional: PBE
Structure: optimized geometry

Results
The calculation puts the formation enthalpy at 0 K at -44.7 kJ/mol of atoms. As for the space-group type: No. 71. The calculation puts the total energy at -0.29474 Ry per atom. The size of the total moment is 0.0 Bohr magnetons per cell. As for the polymorph energy (0 for the lowest one): 3.76 kcal/mol of atoms.

POSCAR file:
```
DyHo2Ga6
1.0
-2.1459 3.4786 6.6561
2.1459 -3.4786 6.6561
2.1459 3.4786 -6.6561
Dy Ho Ga
1 2 6
Direct
0.0000 0.0000 0.0000 Dy
0.3747 0.8747 0.5000 Ho
0.6253 0.1253 0.5000 Ho
0.0080 0.3151 0.6929 Ga
0.3103 0.5000 0.8103 Ga
0.3778 0.6849 0.6929 Ga
0.6222 0.3151 0.3071 Ga
0.6897 0.5000 0.1897 Ga
0.9920 0.6849 0.3071 Ga
```

***

Compound: Tb2Al2ZnRh5
Source: Alexandria via LeMat-Bulk
Functional: PBE
Structure: optimized geometry

Results
The calculation puts the formation enthalpy at 0 K at -75.1 kJ/mol of atoms. As for the space-group type: No. 127. The calculation puts the total energy at -0.45979 Ry per atom. The size of the total moment is 0.0 Bohr magnetons per cell.

POSCAR file:
```
Tb2Al2ZnRh5
1.0
9.9135 0.0000 0.0000
0.0000 9.9135 0.0000
0.0000 0.0000 3.4162
Tb Al Zn Rh
4 4 2 10
Direct
0.1745 0.3255 0.0000 Tb
0.3255 0.8255 0.0000 Tb
0.6745 0.1745 0.0000 Tb
0.8255 0.6745 0.0000 Tb
0.1247 0.6247 0.0000 Al
0.3753 0.1247 0.0000 Al
0.6247 0.8753 0.0000 Al
0.8753 0.3753 0.0000 Al
0.0000 0.0000 0.0000 Zn
0.5000 0.5000 0.0000 Zn
0.0000 0.5000 0.5000 Rh
0.0657 0.7968 0.5000 Rh
0.2032 0.0657 0.5000 Rh
0.2968 0.5657 0.5000 Rh
0.4343 0.2968 0.5000 Rh
0.5000 0.0000 0.5000 Rh
0.5657 0.7032 0.5000 Rh
0.7032 0.4343 0.5000 Rh
0.7968 0.9343 0.5000 Rh
0.9343 0.2032 0.5000 Rh
```

***

Compound: AcAl2Ge
Source: Alexandria via LeMat-Bulk
Functional: PBE
Structure: optimized geometry

Results
The calculation puts the formation enthalpy at 0 K at 50.2 kJ/mol of atoms. As for the space-group type: No. 123. The calculation puts the total energy at -0.25960 Ry per atom. The size of the total moment is 0.0 Bohr magnetons per cell. As for the polymorph energy (0 for the lowest one): 16.83 kcal/mol of atoms.

POSCAR file:
```
AcAl2Ge
1.0
4.4089 0.0000 0.0000
0.0000 4.4089 0.0000
0.0000 0.0000 7.4632
Ac Al Ge
1 2 1
Direct
0.0000 0.0000 0.0000 Ac
0.5000 0.5000 0.1721 Al
0.5000 0.5000 0.8279 Al
0.5000 0.5000 0.5000 Ge
```

***

Compound: TiPd3Au3
Source: Alexandria via LeMat-Bulk
Functional: PBE
Structure: optimized geometry

Results
The calculation puts the formation enthalpy at 0 K at -24.4 kJ/mol of atoms. As for the space-group type: No. 65. The calculation puts the total energy at -0.36831 Ry per atom. The size of the total moment is 0.0 Bohr magnetons per cell. As for the polymorph energy (0 for the lowest one): 0.99 kcal/mol of atoms.

POSCAR file:
```
TiPd3Au3
1.0
3.7997 -4.1702 0.0000
3.7997 4.1702 0.0000
0.0000 0.0000 7.7993
Ti Pd Au
2 6 6
Direct
0.2193 0.7807 0.0000 Ti
0.7807 0.2193 0.0000 Ti
0.0000 0.0000 0.2320 Pd
0.0000 0.0000 0.7680 Pd
0.0000 0.5000 0.2325 Pd
0.0000 0.5000 0.7675 Pd
0.5000 0.0000 0.2325 Pd
0.5000 0.0000 0.7675 Pd
0.2533 0.7467 0.5000 Au
0.2558 0.2558 0.5000 Au
0.3055 0.3055 0.0000 Au
0.6945 0.6945 0.0000 Au
0.7442 0.7442 0.5000 Au
0.7467 0.2533 0.5000 Au
```

***

Compound: NiP3
Source: Alexandria via LeMat-Bulk
Functional: PBE
Structure: optimized geometry

Results
The calculation puts the formation enthalpy at 0 K at 7.3 kJ/mol of atoms. As for the space-group type: No. 63. The calculation puts the total energy at -0.39886 Ry per atom. The size of the total moment is 0.0 Bohr magnetons per cell. As for the polymorph energy (0 for the lowest one): 8.71 kcal/mol of atoms.

POSCAR file:
```
NiP3
1.0
3.6105 -5.6172 0.0000
3.6105 5.6172 0.0000
0.0000 0.0000 3.4889
Ni P
2 6
Direct
0.0836 0.9164 0.7500 Ni
0.9164 0.0836 0.2500 Ni
0.1320 0.3126 0.7500 P
0.2282 0.7718 0.2500 P
0.3126 0.1320 0.2500 P
0.6874 0.8680 0.7500 P
0.7718 0.2282 0.7500 P
0.8680 0.6874 0.2500 P
```

***

Compound: Sm2YOsO8
Source: Alexandria via LeMat-Bulk
Functional: PBE
Structure: optimized geometry

Results
As for the space-group type: No. 65. The calculation puts the total energy at -0.59053 Ry per atom. The size of the total moment is 1.0 Bohr magnetons per cell. The energy relative to the elements, uncorrected is -2.47 eV/atom.

POSCAR file:
```
Sm2YOsO8
1.0
3.6054 -3.6387 0.0000
3.6054 3.6387 0.0000
0.0000 0.0000 6.8862
Sm Y Os O
2 1 1 8
Direct
0.0000 0.0000 0.2483 Sm
0.0000 0.0000 0.7517 Sm
0.5000 0.5000 0.0000 Y
0.5000 0.5000 0.5000 Os
0.1957 0.1957 0.0000 O
0.2414 0.2414 0.5000 O
0.3207 0.6793 0.2915 O
0.3207 0.6793 0.7085 O
0.6793 0.3207 0.2915 O
0.6793 0.3207 0.7085 O
0.7586 0.7586 0.5000 O
0.8043 0.8043 0.0000 O
```

***

Compound: Lu2BiH
Source: Alexandria via LeMat-Bulk
Functional: PBE
Structure: optimized geometry

Results
As for the space-group type: No. 166. The calculation puts the total energy at -0.31909 Ry per atom. The size of the total moment is 0.0 Bohr magnetons per cell.

POSCAR file:
```
Lu2BiH
1.0
2.0377 1.1765 6.3140
-2.0377 1.1765 6.3140
0.0000 -2.3529 6.3140
Lu Bi H
2 1 1
Direct
0.2324 0.2324 0.2324 Lu
0.7676 0.7676 0.7676 Lu
0.0000 0.0000 0.0000 Bi
0.5000 0.5000 0.5000 H
```